Here is KBRh3 after structural relaxation from the Alexandria database. Energies are from PBE-GGA.

CIF file:
```
data_KBRh3
_cell_length_a 4.7250
_cell_length_b 4.7250
_cell_length_c 4.7250
_cell_angle_alpha 90.00
_cell_angle_beta 90.00
_cell_angle_gamma 90.00
_symmetry_space_group_name_H-M 'P m -3 m'
_symmetry_Int_Tables_number 221
_symmetry_space_group_name_Hall '-P 4 2 3'
loop_
_atom_site_label
_atom_site_type_symbol
_atom_site_fract_x
_atom_site_fract_y
_atom_site_fract_z
K1 K 0.0000 0.0000 0.0000
B1 B 0.5000 0.5000 0.5000
Rh1 Rh 0.0000 0.0000 0.5000
```

Results
- energy of formation from the pure elements (meV/atom) = 3050
- total magnetic moment (μB/atom) = 0.479